No. 1
Ba3BrO PBEsol optimized geometry; magnetic moment = 0.001 μB per atom; energy relative to the elements, uncorrected = -1.2 eV per formula unit
1.0
5.999 0.000 0.000
0.000 5.999 0.000
0.000 0.000 5.999
O Ba Br
1 3 1
direct
0.500 0.500 0.500
0.000 0.500 0.000
0.000 0.000 0.500
0.500 0.000 0.000
0.000 0.000 0.000

=====

No. 2
NaAg2Bi2 PBEsol optimized geometry; ΔE to the lowest computed polymorph = 0.088 eV/atom; magnetic moment = 0.000 μB per atom; ΔE_f = 25 kJ/mol of formula units
1.0
4.916 0.000 0.000
0.000 4.916 0.000
-2.458 -2.458 5.717
Na Bi Ag
1 2 2
direct
0.000 0.000 0.000
0.250 0.750 0.500
0.750 0.250 0.500
0.384 0.384 0.768
0.616 0.616 0.232

=====

No. 3
IrRu PBEsol optimized geometry; ΔE to the lowest computed polymorph = 0.012 eV/atom; magnetic moment = 0.000 μB per atom; ΔE_f = -7 kJ/mol of formula units
1.0
-2.345 0.301 -1.312
2.140 -1.022 -4.058
-0.756 -3.815 3.264
Ru Ir
2 2
direct
0.626 0.792 0.251
0.374 0.208 0.749
0.124 0.292 0.248
0.876 0.708 0.752

=====

- magnetic moment of number 1 (Ba3BrO)?
  0.001 μB per atom